# MgCd3

A relaxed MgCd3 crystal (PBE-GGA, the Alexandria database).

Lattice parameters (Å, degrees): 4.5286 4.5286 8.6286 90.00 90.00 90.00
Atoms (fractional coordinates):
Mg: 0.0000 0.0000 0.0000
Mg: 0.5000 0.5000 0.5000
Cd: 0.0000 0.0000 0.5000
Cd: 0.0000 0.5000 0.2500
Cd: 0.0000 0.5000 0.7500
Cd: 0.5000 0.0000 0.2500
Cd: 0.5000 0.0000 0.7500
Cd: 0.5000 0.5000 0.0000

The value obtained for the relative energy among the computed polymorphs is 24 meV per atom. As for the electronic total energy: -1.1316 eV per atom. The calculation puts the energy of formation from the pure elements at -0.047 eV/atom.